[1]
Below is a geometry-optimized KZrRe2 structure, with properties calculated at the PBE level. Values from VASP.

```
&SYSTEM
  ibrav = 0, nat = 4, ntyp = 3
/
ATOMIC_SPECIES
Zr 91.22 Zr.upf
K 39.10 K.upf
Re 186.21 Re.upf
ATOMIC_POSITIONS crystal
Zr 0.0000 0.0000 0.4167
K 0.5000 0.5000 0.7883
Re 0.5000 0.5000 0.2163
Re 0.0000 0.0000 0.0786
CELL_PARAMETERS angstrom
-1.9462 -1.2559 -2.0394
2.3898 -0.8444 -1.7607
0.5055 -8.5776 4.7998
```

Computed properties:
DFT formation energy ... 214 kJ/mol of formula units
Polymorph energy (0 for the lowest one) ... 0.0 meV per atom

[2]
Below is a geometry-optimized KZrRe2 structure, with properties calculated at the PBE level. Values from VASP.

```
&SYSTEM
  ibrav = 0, nat = 4, ntyp = 3
/
ATOMIC_SPECIES
Re 186.21 Re.upf
Zr 91.22 Zr.upf
K 39.10 K.upf
ATOMIC_POSITIONS crystal
Re 0.9835 0.9835 0.0000
Re 0.5165 0.5165 0.0000
Zr 0.7500 0.2500 0.5000
K 0.2500 0.7500 0.5000
CELL_PARAMETERS angstrom
5.8004 0.0027 -0.0048
2.9112 5.0169 0.0048
-3.7140 -3.6238 2.5922
```

Computed properties:
DFT formation energy ... 475 kJ/mol of formula units
Polymorph energy (0 for the lowest one) ... 676.9 meV per atom

[3]
Below is a geometry-optimized KZrRe2 structure, with properties calculated at the PBE level. Values from VASP.

```
&SYSTEM
  ibrav = 0, nat = 4, ntyp = 3
/
ATOMIC_SPECIES
Zr 91.22 Zr.upf
K 39.10 K.upf
Re 186.21 Re.upf
ATOMIC_POSITIONS crystal
Zr 0.0000 0.0000 0.4464
K 0.5000 0.5000 0.7750
Re 0.5000 0.5000 0.2331
Re 0.0000 0.0000 0.0454
CELL_PARAMETERS angstrom
2.8533 -0.0043 0.0000
-1.0647 2.6473 0.0000
0.0000 0.0000 10.8813
```

Computed properties:
DFT formation energy ... 274 kJ/mol of formula units
Polymorph energy (0 for the lowest one) ... 155.1 meV per atom

[4]
Below is a geometry-optimized KZrRe2 structure, with properties calculated at the PBE level. Values from VASP.

```
&SYSTEM
  ibrav = 0, nat = 4, ntyp = 3
/
ATOMIC_SPECIES
Re 186.21 Re.upf
Zr 91.22 Zr.upf
K 39.10 K.upf
ATOMIC_POSITIONS crystal
Re 0.0000 0.0000 0.0319
Re 0.0000 0.0000 0.4681
Zr 0.5000 0.5000 0.2500
K 0.5000 0.5000 0.7500
CELL_PARAMETERS angstrom
-0.7058 -1.8731 -1.9777
-0.0962 -1.1846 2.5505
-10.0625 2.8129 0.9271
```

Computed properties:
DFT formation energy ... 275 kJ/mol of formula units
Polymorph energy (0 for the lowest one) ... 157.8 meV per atom

[5]
Below is a geometry-optimized KZrRe2 structure, with properties calculated at the PBE level. Values from VASP.

```
&SYSTEM
  ibrav = 0, nat = 4, ntyp = 3
/
ATOMIC_SPECIES
Zr 91.22 Zr.upf
Re 186.21 Re.upf
K 39.10 K.upf
ATOMIC_POSITIONS crystal
Zr 0.0000 0.0000 0.3972
Re 0.0000 0.0000 0.1017
Re 0.5000 0.5000 0.2112
K 0.5000 0.5000 0.7899
CELL_PARAMETERS angstrom
-2.4854 -0.4040 -1.4965
-0.4186 -3.5276 1.6475
-4.5571 3.6192 6.5916
```

Computed properties:
DFT formation energy ... 233 kJ/mol of formula units
Polymorph energy (0 for the lowest one) ... 50.2 meV per atom

[6]
Below is a geometry-optimized KZrRe2 structure, with properties calculated at the PBE level. Values from VASP.

```
&SYSTEM
  ibrav = 0, nat = 4, ntyp = 3
/
ATOMIC_SPECIES
Zr 91.22 Zr.upf
K 39.10 K.upf
Re 186.21 Re.upf
ATOMIC_POSITIONS crystal
Zr 0.0000 0.5488 0.3962
K 0.5000 0.7745 0.7894
Re 0.0000 0.9264 0.1042
Re 0.5000 0.2503 0.2102
CELL_PARAMETERS angstrom
-3.2995 0.5776 -2.2567
1.0716 -1.8315 -2.0356
-3.0694 -7.8869 2.4691
```

Computed properties:
DFT formation energy ... 231 kJ/mol of formula units
Polymorph energy (0 for the lowest one) ... 44.9 meV per atom

[7]
Below is a geometry-optimized KZrRe2 structure, with properties calculated at the PBE level. Values from VASP.

```
&SYSTEM
  ibrav = 0, nat = 4, ntyp = 3
/
ATOMIC_SPECIES
Re 186.21 Re.upf
K 39.10 K.upf
Zr 91.22 Zr.upf
ATOMIC_POSITIONS crystal
Re 0.5000 0.5000 0.0000
Re 0.0000 0.0000 0.0000
K 0.7500 0.2500 0.5000
Zr 0.2500 0.7500 0.5000
CELL_PARAMETERS angstrom
-1.9368 5.3047 -0.3650
-3.8955 2.0014 3.5838
4.9128 -2.8072 0.0885
```

Computed properties:
DFT formation energy ... 545 kJ/mol of formula units
Polymorph energy (0 for the lowest one) ... 857.8 meV per atom

[8]
Below is a geometry-optimized KZrRe2 structure, with properties calculated at the PBE level. Values from VASP.

```
&SYSTEM
  ibrav = 0, nat = 4, ntyp = 3
/
ATOMIC_SPECIES
Zr 91.22 Zr.upf
Re 186.21 Re.upf
K 39.10 K.upf
ATOMIC_POSITIONS crystal
Zr 0.2500 0.2500 0.2500
Re 0.5067 0.5067 0.5067
Re 0.9933 0.9933 0.9933
K 0.7500 0.7500 0.7500
CELL_PARAMETERS angstrom
-4.2507 8.6498 5.7347
-4.6224 6.6747 7.7367
-2.1408 8.0329 7.5276
```

Computed properties:
DFT formation energy ... 340 kJ/mol of formula units
Polymorph energy (0 for the lowest one) ... 327.2 meV per atom

[9]
Below is a geometry-optimized KZrRe2 structure, with properties calculated at the PBE level. Values from VASP.

```
&SYSTEM
  ibrav = 0, nat = 8, ntyp = 3
/
ATOMIC_SPECIES
K 39.10 K.upf
Re 186.21 Re.upf
Zr 91.22 Zr.upf
ATOMIC_POSITIONS crystal
K 0.2500 0.7500 0.5000
K 0.5000 0.5000 0.0000
Re 0.8007 0.1250 0.2500
Re 0.9493 0.6250 0.2500
Re 0.3750 0.1993 0.7500
Re 0.8750 0.0507 0.7500
Zr 0.7500 0.2500 0.5000
Zr 0.0000 0.0000 0.0000
CELL_PARAMETERS angstrom
4.7554 0.0000 0.0000
0.0000 4.7554 0.0000
2.3777 2.3777 9.5581
```

Computed properties:
DFT formation energy ... 610 kJ/mol of formula units
Polymorph energy (0 for the lowest one) ... 1027.2 meV per atom

[10]
Below is a geometry-optimized KZrRe2 structure, with properties calculated at the PBE level. Values from VASP.

```
&SYSTEM
  ibrav = 0, nat = 4, ntyp = 3
/
ATOMIC_SPECIES
Zr 91.22 Zr.upf
Re 186.21 Re.upf
K 39.10 K.upf
ATOMIC_POSITIONS crystal
Zr 0.5000 0.5000 0.2500
Re 0.0000 0.0000 0.4729
Re 0.0000 0.0000 0.0271
K 0.5000 0.5000 0.7500
CELL_PARAMETERS angstrom
-2.3615 -1.2903 -0.3265
0.3775 -1.2869 2.3557
-5.0715 7.9740 5.1688
```

Computed properties:
DFT formation energy ... 353 kJ/mol of formula units
Polymorph energy (0 for the lowest one) ... 360.1 meV per atom

[11]
Below is a geometry-optimized K2ZrRe2 structure, with properties calculated at the PBE level. Values from VASP.

```
&SYSTEM
  ibrav = 0, nat = 5, ntyp = 3
/
ATOMIC_SPECIES
Zr 91.22 Zr.upf
Re 186.21 Re.upf
K 39.10 K.upf
ATOMIC_POSITIONS crystal
Zr 0.0000 0.0000 0.0000
Re 0.7500 0.2500 0.5000
Re 0.2500 0.7500 0.5000
K 0.6267 0.6267 0.7466
K 0.3733 0.3733 0.2534
CELL_PARAMETERS angstrom
-3.1526 1.3508 0.6493
-1.4715 -3.0767 -0.7442
-1.2840 -4.2831 12.0598
```

Computed properties:
DFT formation energy ... 585 kJ/mol of formula units
Polymorph energy (0 for the lowest one) ... 0.0 meV per atom

[12]
Below is a geometry-optimized KZr3Re structure, with properties calculated at the PBE level. Values from VASP.

```
&SYSTEM
  ibrav = 0, nat = 5, ntyp = 3
/
ATOMIC_SPECIES
Zr 91.22 Zr.upf
Re 186.21 Re.upf
K 39.10 K.upf
ATOMIC_POSITIONS crystal
Zr 0.0000 0.0000 0.5000
Zr 0.5000 0.0000 0.0000
Zr 0.0000 0.5000 0.0000
Re 0.5000 0.5000 0.5000
K 0.0000 0.0000 0.0000
CELL_PARAMETERS angstrom
-1.5426 -1.8988 4.0703
4.4344 0.0396 1.6990
-0.7133 4.3526 1.7602
```

Computed properties:
DFT formation energy ... 1127 kJ/mol of formula units
Polymorph energy (0 for the lowest one) ... 1671.1 meV per atom

Number 1: M_tot 0.6 μB/f.u.. Number 2: M_tot 0.0 μB/f.u.. Number 3: M_tot 0.0 μB/f.u.. Number 4: M_tot 0.0 μB/f.u.. Number 5: M_tot 0.0 μB/f.u.. Number 6: M_tot 0.0 μB/f.u.. Number 7: M_tot 0.0 μB/f.u.. Number 8: M_tot 0.0 μB/f.u.. Number 9: M_tot 0.0 μB/f.u.. Number 10: M_tot 0.0 μB/f.u.. Number 11: M_tot 2.8 μB/f.u.. Number 12: M_tot 0.1 μB/f.u..